[1]
Compound: YCdRe2
Source: Alexandria via LeMat-Bulk
Functional: SCAN
Structure: PBEsol geometry

a = 3.977 Å, b = 3.977 Å, c = 4.516 Å
α = 90.00°, β = 90.00°, γ = 90.00°
Space group P4/mmm (No. 123)
Inequivalent atoms, fractional coordinates:
Y 0.000 0.000 0.000 [1 per cell]
Cd 0.500 0.500 0.000 [1 per cell]
Re 0.000 0.500 0.500 [2 per cell]

energy of formation from the pure elements = 0.491 eV/atom
uncorrected energy = -198.5 eV/cell


[2]
Compound: Y2CdRe
Source: Alexandria via LeMat-Bulk
Functional: SCAN
Structure: PBEsol geometry

a = 3.443 Å, b = 3.443 Å, c = 7.566 Å
α = 90.00°, β = 90.00°, γ = 90.00°
Space group P4/mmm (No. 123)
Inequivalent atoms, fractional coordinates:
Y 0.000 0.000 0.216 [2 per cell]
Cd 0.500 0.500 0.500 [1 per cell]
Re 0.500 0.500 0.000 [1 per cell]

energy of formation from the pure elements = -0.119 eV/atom
uncorrected energy = -157.7 eV/cell


Number 1: DOS at the Fermi energy 0.91 states/eV/atom. Number 2: DOS at the Fermi energy 1.00 states/eV/atom.